Entry 1:
A plane-wave DFT calculation with PBE was carried out for a geometry-optimized LaY2Ta structure.

Output
Space-group type: No. 166
Total magnetic moment in μB per atom: 0.000
Excess energy over the best structure of this formula in the dataset in meV per atom: 78
Energy relative to the elements in eV/atom: 0.35
Calculated density in g cm⁻³: 7.3

abc: 11.6095 11.6095 11.6095
angles: 16.75 16.75 16.75
Last column: nearest neighbours and their distance in Å.
Fractional positions:
La (0.2500, 0.2500, 0.2500)  6 La 3.38, 6 Y 3.78
Ta (0.7500, 0.7500, 0.7500)  6 Y 3.16, 6 Ta 3.38
Y (0.0109, 0.0109, 0.0109)  3 Ta 3.16, 6 Y 3.38
Y (0.4891, 0.4891, 0.4891)  3 Ta 3.16, 6 Y 3.38

=====

Entry 2:
A plane-wave DFT calculation with PBE was carried out for a geometry-optimized La2YTa structure.

Output
Space-group type: No. 166
Total magnetic moment in μB per atom: 0.000
Excess energy over the best structure of this formula in the dataset in meV per atom: 131
Energy relative to the elements in eV/atom: 0.45
Calculated density in g cm⁻³: 7.8

abc: 11.5615 11.5615 11.5615
angles: 17.10 17.10 17.10
Last column: nearest neighbours and their distance in Å.
Fractional positions:
La (0.9918, 0.9918, 0.9918)  3 Ta 3.24, 6 La 3.44
La (0.5082, 0.5082, 0.5082)  3 Ta 3.24, 6 La 3.44
Ta (0.2500, 0.2500, 0.2500)  6 La 3.24, 6 Ta 3.44
Y (0.7500, 0.7500, 0.7500)  6 Y 3.44, 6 La 3.71

=====

Entry 3:
A plane-wave DFT calculation with PBE was carried out for a geometry-optimized LaYTa structure.

Output
Space-group type: No. 156
Total magnetic moment in μB per atom: 0.000
Excess energy over the best structure of this formula in the dataset in meV per atom: 104
Energy relative to the elements in eV/atom: 0.46
Calculated density in g cm⁻³: 8.4

abc: 3.3068 3.3068 8.5692
angles: 90.00 90.00 120.00
Last column: nearest neighbours and their distance in Å.
Fractional positions:
La (0.0000, 0.0000, 0.0277)  3 Ta 3.29, 6 La 3.31
Ta (0.3333, 0.6667, 0.3406)  3 Y 3.14, 3 La 3.29, 6 Ta 3.31
Y (0.6667, 0.3333, 0.6317)  3 Ta 3.14, 6 Y 3.31